Entry from Alexandria via LeMat-Bulk: UTc2B after structural relaxation (PBE).

The structure in CIF format:
```
data_UTc2B
_cell_length_a 3.090
_cell_length_b 10.211
_cell_length_c 7.329
_cell_angle_alpha 90.00
_cell_angle_beta 90.00
_cell_angle_gamma 90.00
_symmetry_space_group_name_H-M 'C m c m'
_symmetry_Int_Tables_number 63
_symmetry_space_group_name_Hall '-C 2c 2'
loop_
_atom_site_label
_atom_site_type_symbol
_atom_site_fract_x
_atom_site_fract_y
_atom_site_fract_z
U1 U 0.000 0.055 0.250
Tc1 Tc 0.000 0.352 0.048
B1 B 0.000 0.226 0.750
```

Calculated volume (Å³ per cell): 231.2
Energy relative to the lowest polymorph listed for this composition (meV per atom): 0

---

Entry from Alexandria via LeMat-Bulk: UTc3B after structural relaxation (PBE).

The structure in CIF format:
```
data_UTc3B
_cell_length_a 4.207
_cell_length_b 4.207
_cell_length_c 4.207
_cell_angle_alpha 90.00
_cell_angle_beta 90.00
_cell_angle_gamma 90.00
_symmetry_space_group_name_H-M 'P m -3 m'
_symmetry_Int_Tables_number 221
_symmetry_space_group_name_Hall '-P 4 2 3'
loop_
_atom_site_label
_atom_site_type_symbol
_atom_site_fract_x
_atom_site_fract_y
_atom_site_fract_z
U1 U 0.000 0.000 0.000
Tc1 Tc 0.000 0.500 0.500
B1 B 0.500 0.500 0.500
```

Calculated volume (Å³ per cell): 74.5
Energy relative to the lowest polymorph listed for this composition (meV per atom): 0

---

Entry from Alexandria via LeMat-Bulk: UTcB4 after structural relaxation (PBE).

The structure in CIF format:
```
data_UTcB4
_cell_length_a 5.921
_cell_length_b 11.493
_cell_length_c 3.600
_cell_angle_alpha 90.00
_cell_angle_beta 90.00
_cell_angle_gamma 90.00
_symmetry_space_group_name_H-M 'P b a m'
_symmetry_Int_Tables_number 55
_symmetry_space_group_name_Hall '-P 2 2ab'
loop_
_atom_site_label
_atom_site_type_symbol
_atom_site_fract_x
_atom_site_fract_y
_atom_site_fract_z
U1 U 0.128 0.150 0.000
Tc1 Tc 0.140 0.406 0.000
B1 B 0.027 0.693 0.500
B2 B 0.115 0.547 0.500
B3 B 0.132 0.968 0.500
B4 B 0.211 0.811 0.500
```

Calculated volume (Å³ per cell): 245.0
Total energy (eV/cell): -207.3

---

Entry from Alexandria via LeMat-Bulk: UTc2B after structural relaxation (PBE).

The structure in CIF format:
```
data_UTc2B
_cell_length_a 3.0029
_cell_length_b 3.0029
_cell_length_c 22.9396
_cell_angle_alpha 90.00
_cell_angle_beta 90.00
_cell_angle_gamma 120.00
_symmetry_space_group_name_H-M 'R -3 m'
_symmetry_Int_Tables_number 166
_symmetry_space_group_name_Hall '-R 3 2"'
loop_
_atom_site_label
_atom_site_type_symbol
_atom_site_fract_x
_atom_site_fract_y
_atom_site_fract_z
U1 U 0.0000 0.0000 0.0000
Tc1 Tc 0.0000 0.0000 0.1079
B1 B 0.0000 0.0000 0.5000
```

Calculated volume (Å³ per cell): 179.1
Energy relative to the lowest polymorph listed for this composition (meV per atom): 389

---

Asked for DOS at the Fermi energy across the records above, the calculation gives 3.8, 2.2, 4.1, 6.7 states/eV/f.u. in order.